Computed, not measured: a relaxed Al5Ag3 crystal at the PBE-GGA level of DFT.

Computed properties:
crystal system = monoclinic

Unit cell a=5.0424 b=2.9694 c=9.1889 alpha=90.00 beta=99.59 gamma=90.00
Atoms (fractional coordinates):
1 Al 0.0000 0.0000 0.0000
2 Al 0.0101 0.5000 0.4978
3 Al 0.2505 0.0000 0.7490
4 Al 0.7325 0.0000 0.2499
5 Al 0.7584 0.5000 0.7500
6 Ag 0.2301 0.5000 0.2469
7 Ag 0.5009 0.5000 0.9930
8 Ag 0.5176 0.0000 0.5081

Computed, not measured: a relaxed AlAg2 crystal at the PBE-GGA level of DFT.

Computed properties:
crystal system = tetragonal

Unit cell a=2.9075 b=2.9075 c=12.3395 alpha=90.00 beta=90.00 gamma=90.00
Atoms (fractional coordinates):
1 Al 0.2500 0.2500 0.0822
2 Al 0.7500 0.7500 0.9178
3 Ag 0.2500 0.2500 0.4149
4 Ag 0.2500 0.2500 0.7604
5 Ag 0.7500 0.7500 0.2396
6 Ag 0.7500 0.7500 0.5851

Computed, not measured: a relaxed Al5Ag4 crystal at the PBE-GGA level of DFT.

Computed properties:
crystal system = tetragonal

Unit cell a=7.5064 b=7.5064 c=7.5064 alpha=92.10 beta=92.10 gamma=157.91
Atoms (fractional coordinates):
1 Al 0.0000 0.0000 0.0000
2 Al 0.3334 0.3334 0.6667
3 Al 0.3334 0.6666 0.0000
4 Al 0.6666 0.3334 0.0000
5 Al 0.6666 0.6666 0.3333
6 Ag 0.0000 0.3239 0.3239
7 Ag 0.0000 0.6761 0.6761
8 Ag 0.3239 0.0000 0.3239
9 Ag 0.6761 0.0000 0.6761

| no. | density (g/cm3) | energy of formation (kJ/mol of atoms) |
| --- | --- | --- |
| 1 | 5.61 | -1.4 |
| 2 | 7.73 | -0.3 |
| 3 | 6.02 | 2.7 |